## CuOsF3 (meta-GGA SCAN)

Data for a crystal of CuOsF3 relaxed with PBEsol.

Properties
* raw total energy: -19.89 eV per atom
* SG: Pm-3m, No. 221
* V: 13.5 Å³ per atom

abc: 4.075 4.075 4.075
angles: 90.00 90.00 90.00
Sites, in units of the cell vectors:
Os 0.000 0.000 0.000
Cu 0.500 0.500 0.500
F 0.000 0.500 0.000
F 0.000 0.000 0.500
F 0.500 0.000 0.000

## Cu2OsF (meta-GGA SCAN)

Data for a crystal of Cu2OsF relaxed with PBEsol.

Properties
* raw total energy: -25.82 eV per atom
* SG: Fm-3m, No. 225
* V: 12.5 Å³ per atom

abc: 4.133 4.133 4.133
angles: 60.00 60.00 60.00
Site moments in Bohr magnetons follow the coordinates.
Sites, in units of the cell vectors:
Os 0.500 0.500 0.500  1.78
Cu 0.250 0.250 0.250  0.16
Cu 0.750 0.750 0.750  0.16
F 0.000 0.000 0.000  0.09

## CuOs3F (meta-GGA SCAN)

Data for a crystal of CuOs3F relaxed with PBEsol.

Properties
* raw total energy: -44.92 eV per atom
* SG: Pm-3m, No. 221
* V: 14.0 Å³ per atom

abc: 4.124 4.124 4.124
angles: 90.00 90.00 90.00
Site moments in Bohr magnetons follow the coordinates.
Sites, in units of the cell vectors:
Os 0.000 0.500 0.000  0.99
Os 0.000 0.000 0.500  0.99
Os 0.500 0.000 0.000  0.99
Cu 0.500 0.500 0.500  0.21
F 0.000 0.000 0.000  0.07

## CuOsS2F (meta-GGA SCAN)

Data for a crystal of CuOsS2F relaxed with PBEsol.

Properties
* raw total energy: -21.47 eV per atom
* SG: P4/mmm, No. 123
* V: 14.0 Å³ per atom

abc: 3.458 4.496 4.496
angles: 90.00 90.00 90.00
Site moments in Bohr magnetons follow the coordinates.
Sites, in units of the cell vectors:
S 0.000 0.000 0.500  -0.07
S 0.000 0.500 0.000  -0.07
Os 0.500 0.500 0.500  1.38
Cu 0.000 0.000 0.000  -0.02
F 0.500 0.000 0.000  -0.01

## CuPF3 (meta-GGA SCAN)

Data for a crystal of CuPF3 relaxed with PBEsol.

Properties
* raw total energy: -7.97 eV per atom
* SG: Pm-3m, No. 221
* V: 12.4 Å³ per atom

abc: 3.959 3.959 3.959
angles: 90.00 90.00 90.00
Site moments in Bohr magnetons follow the coordinates.
Sites, in units of the cell vectors:
P 0.500 0.500 0.500  0.91
Cu 0.000 0.000 0.000  0.78
F 0.000 0.500 0.000  0.12
F 0.000 0.000 0.500  0.12
F 0.500 0.000 0.000  0.12

## CuP2F (meta-GGA SCAN)

Data for a crystal of CuP2F relaxed with PBEsol.

Properties
* raw total energy: -10.08 eV per atom
* SG: I-42d, No. 122
* V: 13.0 Å³ per atom

abc: 3.414 3.414 9.265
angles: 100.62 100.62 90.00
Sites, in units of the cell vectors:
P 0.331 0.875 0.250
P 0.919 0.375 0.250
P 0.125 0.081 0.750
P 0.625 0.669 0.750
Cu 0.250 0.750 0.500
Cu 0.000 0.000 0.000
F 0.750 0.250 0.500
F 0.500 0.500 0.000

## PaCuF6 (meta-GGA SCAN)

Data for a crystal of PaCuF6 relaxed with PBEsol.

Properties
* raw total energy: -20.21 eV per atom
* SG: R-3, No. 148
* V: 15.5 Å³ per atom

abc: 5.340 5.340 5.891
angles: 63.05 63.05 60.00
Site moments in Bohr magnetons follow the coordinates.
Sites, in units of the cell vectors:
Pa 0.500 0.500 0.500  -0.12
Cu 0.000 0.000 0.000  0.10
F 0.888 0.245 0.254  0.00
F 0.245 0.613 0.254  0.00
F 0.387 0.112 0.746  0.00
F 0.755 0.387 0.746  0.00
F 0.112 0.755 0.746  0.00
F 0.613 0.888 0.254  0.00

## CuPb3F (meta-GGA SCAN)

Data for a crystal of CuPb3F relaxed with PBEsol.

Properties
* raw total energy: -49.30 eV per atom
* SG: Pm-3m, No. 221
* V: 26.5 Å³ per atom

abc: 5.098 5.098 5.098
angles: 90.00 90.00 90.00
Sites, in units of the cell vectors:
Pb 0.000 0.500 0.000
Pb 0.000 0.000 0.500
Pb 0.500 0.000 0.000
Cu 0.000 0.000 0.000
F 0.500 0.500 0.500